Record 1
Computed, not measured: a relaxed Al8Cu2Ni crystal at the GGA-PBE level of DFT.

Results
* calculated formation energy: -141 kJ/mol of formula units
* ρ: 3.98 g/cm3
* space group: No. 123

Geometry as POSCAR:
```
Al8Cu2Ni
1.0
-0.943 2.379 3.010
-3.503 0.731 -1.675
-4.252 -8.332 5.253
Al Cu Ni
8 2 1
Direct
0.000 0.500 0.500
0.500 0.000 0.500
0.500 0.500 0.314
0.500 0.500 0.686
0.000 0.500 0.131
0.500 0.000 0.131
0.000 0.500 0.869
0.500 0.000 0.869
0.000 0.000 0.318
0.000 0.000 0.682
0.000 0.000 0.000
```

---

Record 2
Computed, not measured: a relaxed Eu3InF crystal at the GGA-PBE level of DFT.

Results
* E_form (uncorrected): -601 kJ/mol of formula units
* ρ: 7.07 g/cm3
* space group: No. 221

Geometry as POSCAR:
```
Eu3InF
1.0
5.174 0.000 0.000
0.000 5.174 0.000
0.000 0.000 5.174
Eu F In
3 1 1
Direct
0.000 0.500 0.000
0.000 0.000 0.500
0.500 0.000 0.000
0.000 0.000 0.000
0.500 0.500 0.500
```

---

Record 3
Computed, not measured: a relaxed KSi2Sb crystal at the GGA-PBE level of DFT.

Results
* E_form (uncorrected): 215 kJ/mol of formula units
* ρ: 3.86 g/cm3
* space group: No. 119

Geometry as POSCAR:
```
KSi2Sb
1.0
-4.578 -3.219 -0.827
1.176 -5.526 0.296
1.114 4.413 3.360
K Sb Si
1 1 2
Direct
0.500 0.500 0.000
0.750 0.250 0.500
0.000 0.000 0.000
0.250 0.750 0.500
```

---

ρ of number 3 (KSi2Sb)? 3.86 g/cm3